Record 1
Compound: AcPuAg2O8
Source: Alexandria via LeMat-Bulk
Functional: PBE-GGA
Structure: optimized geometry

The final energy comes out at -79.66 eV/f.u. For the spin magnetization, the calculation gives 1.300 μB per cell. As for the theoretical density: 7.08 g cm⁻³. Its density of states at the Fermi level is 9.083 states/eV/cell. Its energy relative to the elements, uncorrected is -1.32 eV per atom.

The structure belongs to space group I-4m2 (No. 119); the cell edges are 7.1140, 7.1140 and 7.5547 Å and the angles 90.00°, 90.00° and 90.00°. The asymmetric unit holds Ac at (0.0000, 0.0000, 0.0000), Pu at (0.0000, 0.5000, 0.2500), Ag at (0.0000, 0.0000, 0.5000), Ag at (0.0000, 0.5000, 0.7500), O at (0.0000, 0.2268, 0.2862) and O at (0.0000, 0.3375, 0.9717).



Record 2
Compound: Rb4Ac3AgO8
Source: Alexandria via LeMat-Bulk
Functional: PBE-GGA
Structure: optimized geometry

The final energy comes out at -90.54 eV/f.u. For the spin magnetization, the calculation gives 0.000 μB per cell. As for the theoretical density: 6.15 g cm⁻³. Its density of states at the Fermi level is 1.960 states/eV/cell. Its energy relative to the elements, uncorrected is -1.99 eV per atom.

The structure belongs to space group C2/m (No. 12); the cell edges are 13.7376, 7.3240 and 7.7203 Å and the angles 90.00°, 118.91° and 90.00°. The asymmetric unit holds Rb at (0.0000, 0.0000, 0.0000), Rb at (0.0000, 0.5000, 0.0000), Rb at (0.2500, 0.2500, 0.0000), Ac at (0.0000, 0.0000, 0.5000), Ac at (0.2500, 0.2500, 0.5000), Ag at (0.0000, 0.5000, 0.5000), O at (0.0300, 0.2884, 0.3422), O at (0.2099, 0.0000, 0.6836) and O at (0.2146, 0.0000, 0.2659).



Record 3
Compound: RbAc2AgO5
Source: Alexandria via LeMat-Bulk
Functional: PBE-GGA
Structure: optimized geometry

The final energy comes out at -54.83 eV/f.u. For the spin magnetization, the calculation gives 8.152 μB per cell. As for the theoretical density: 7.29 g cm⁻³. Its density of states at the Fermi level is 14.122 states/eV/cell. Its energy relative to the elements, uncorrected is -2.00 eV per atom.

The structure belongs to space group I4/mcm (No. 140); the cell edges are 7.2400, 7.2400 and 12.6420 Å and the angles 90.00°, 90.00° and 90.00°. The asymmetric unit holds Rb at (0.0000, 0.0000, 0.2500), Ac at (0.1771, 0.3229, 0.0000), Ag at (0.0000, 0.5000, 0.2500), O at (0.0000, 0.0000, 0.0000) and O at (0.1323, 0.3677, 0.3816).



Record 4
Compound: RbAc2AgO4
Source: Alexandria via LeMat-Bulk
Functional: PBE-GGA
Structure: optimized geometry

The final energy comes out at -49.98 eV/f.u. For the spin magnetization, the calculation gives 0.000 μB per cell. As for the theoretical density: 7.05 g cm⁻³. Its density of states at the Fermi level is 0.000 states/eV/cell. Its energy relative to the elements, uncorrected is -2.26 eV per atom.

The structure belongs to space group Cmcm (No. 63); the cell edges are 3.9531, 13.3040 and 12.7499 Å and the angles 90.00°, 90.00° and 90.00°. The asymmetric unit holds Rb at (0.0000, 0.0626, 0.2500), Ac at (0.0000, 0.3699, 0.0620), Ag at (0.0000, 0.2320, 0.7500), O at (0.0000, 0.0000, 0.0000), O at (0.0000, 0.2441, 0.5858) and O at (0.0000, 0.4129, 0.2500).